No. 1
## AgAsSe2 (PBE)

Data for a relaxed AgAsSe2 crystal. Values from VASP.

Properties
ΔE_f (raw): 76 kJ/mol of formula units

Quantum ESPRESSO input file:
```
&SYSTEM
  ibrav = 0, nat = 4, ntyp = 3
/
ATOMIC_SPECIES
Ag 107.87 Ag.upf
Se 78.96 Se.upf
As 74.92 As.upf
CELL_PARAMETERS angstrom
4.5534 -0.1065 0.0000
-2.9525 3.4681 0.0000
0.0000 0.0000 7.4505
ATOMIC_POSITIONS crystal
Ag 0.5000 0.5000 0.2500
Se 0.0000 0.0000 0.5097
Se 0.0000 0.0000 0.9903
As 0.5000 0.5000 0.7500
```

---

No. 2
## SrRu3 (PBE)

Data for a relaxed SrRu3 crystal. Values from VASP.

Properties
Energy relative to the elements: 3.4986 eV/atom

Quantum ESPRESSO input file:
```
&SYSTEM
  ibrav = 0, nat = 4, ntyp = 2
/
ATOMIC_SPECIES
Sr 87.62 Sr.upf
Ru 101.07 Ru.upf
CELL_PARAMETERS angstrom
-2.3721 4.4540 -0.8077
-4.4971 -2.2147 0.9944
0.5166 1.1723 4.9473
ATOMIC_POSITIONS crystal
Sr 0.0000 0.0000 0.0000
Ru 0.5000 0.0000 0.0000
Ru 0.0000 0.0000 0.5000
Ru 0.0000 0.5000 0.0000
```

---

Respective raw total energy values: -3.42 -3.88 eV/atom.